(1)
Crystalline TbPmMgRu at its relaxed geometry. Source: the Alexandria database, functional PBE.

Cell and atoms, written as extended XYZ:
```
4
Lattice="-0.8249 -0.9858 -4.9306 -4.1375 -2.6141 -1.4180 -3.7803 2.3583 -2.4719" Properties=species:S:1:pos:R:3 pbc="T T T"
Pm -6.5571 -0.9311 -6.6154
Tb -2.1857 -0.3104 -2.2051
Mg 0.0000 0.0000 0.0000
Ru -4.3714 -0.6208 -4.4102
```

E above lowest polymorph: 85.1 meV/atom

(2)
Crystalline TbPmMgRu at its relaxed geometry. Source: the Alexandria database, functional PBE.

Cell and atoms, written as extended XYZ:
```
4
Lattice="-1.3483 2.5135 1.9249 0.6122 -1.8457 2.8389 7.7400 3.6253 0.6879" Properties=species:S:1:pos:R:3 pbc="T T T"
Tb 2.5265 1.6896 2.6392
Ru 4.3724 2.0480 0.3886
Pm 5.5837 3.1215 2.9109
Mg 0.5949 0.2786 0.0529
```

E above lowest polymorph: 0.0 meV/atom

(3)
Crystalline PmThMgRu at its relaxed geometry. Source: the Alexandria database, functional PBE.

Cell and atoms, written as extended XYZ:
```
4
Lattice="-2.5271 3.5261 -2.8189 -1.5250 -1.1427 -4.8098 -5.0284 -0.6372 -1.0367" Properties=species:S:1:pos:R:3 pbc="T T T"
Th -4.5402 0.8731 -4.3327
Mg -2.2701 0.4365 -2.1663
Ru -6.8104 1.3096 -6.4990
Pm 0.0000 0.0000 0.0000
```

(4)
Crystalline Pm2MgU2Ru5 at its relaxed geometry. Source: the Alexandria database, functional PBE.

Cell and atoms, written as extended XYZ:
```
20
Lattice="-0.9517 2.4109 -2.0223 -10.1941 -4.0767 -0.0627 -2.5537 6.2526 8.6560" Properties=species:S:1:pos:R:3 pbc="T T T"
U -3.9206 -0.4478 1.3112
U -8.8272 2.6237 7.2821
U -9.5080 -1.2855 2.9421
U -3.2398 3.4613 5.6512
Pm -2.5011 1.4713 2.9310
Pm -7.1396 -1.6897 1.3456
Pm -10.2467 0.7046 5.6623
Pm -5.6082 3.8656 7.2478
Ru -7.9598 3.3310 5.0449
Ru -2.6999 0.7370 -0.5230
Ru -5.5729 -0.8329 -1.0425
Ru -8.7782 1.1013 2.7718
Ru -10.6001 -1.3619 0.6928
Ru -10.9996 3.8498 7.0940
Ru -3.0994 5.9487 5.8782
Ru -4.9213 3.4856 3.7992
Ru -1.7527 4.3318 3.3168
Ru -5.7397 1.2558 1.5261
Mg -6.3739 1.0879 4.2967
Mg 0.0000 0.0000 0.0000
```

(5)
Crystalline PmYMgRu at its relaxed geometry. Source: the Alexandria database, functional PBE.

Cell and atoms, written as extended XYZ:
```
4
Lattice="-1.1919 -2.3875 2.2569 2.8697 0.4124 1.9518 -3.7348 5.8805 4.2485" Properties=species:S:1:pos:R:3 pbc="T T T"
Y -0.5249 1.1598 3.6558
Ru -2.1115 3.3245 2.4019
Mg -0.2907 0.4577 0.3306
Pm -2.0606 3.5778 5.4027
```

E above lowest polymorph: 0.0 meV/atom

(6)
Crystalline PmYMgRu at its relaxed geometry. Source: the Alexandria database, functional PBE.

Cell and atoms, written as extended XYZ:
```
4
Lattice="5.0932 0.0000 0.0000 2.5466 4.4109 0.0000 2.5466 1.4703 4.1586" Properties=species:S:1:pos:R:3 pbc="T T T"
Ru 7.6399 4.4109 3.1190
Pm 0.0000 0.0000 0.0000
Mg 2.5466 1.4703 1.0397
Y 5.0932 2.9406 2.0793
```

E above lowest polymorph: 77.2 meV/atom

Here are the calculated formation energy from the elements numbers, same order: -0.133 -0.218 -0.070 -0.142 -0.216 -0.139 (eV per atom).
Here are the calculated total DFT energy (no corrections) numbers, same order: -20.78 -21.12 -23.32 -162.94 -22.95 -22.64 (eV/cell).